# 1
Density functional theory data (PBE-GGA) for a geometry-optimized SrInPb structure.

```
SrInPb
1.0
6.174 -2.470 0.000
6.174 2.470 0.000
-4.850 0.000 6.414
Sr In Pb
2 2 2
direct
0.053 0.053 0.304 Sr
0.947 0.947 0.696 Sr
0.350 0.350 0.925 In
0.650 0.650 0.075 In
0.330 0.330 0.298 Pb
0.670 0.670 0.702 Pb
```

magnetization = 0.00 μB per formula unit
formation energy from the elements = -0.408 eV/atom
DOS at the Fermi energy = 0.41 states/eV per atom

# 2
Density functional theory data (PBE-GGA) for a geometry-optimized SrIn2Pb structure.

```
SrIn2Pb
1.0
-2.433 2.433 5.116
2.433 -2.433 5.116
2.433 2.433 -5.116
Sr In Pb
1 2 1
direct
0.000 0.000 0.000 Sr
0.250 0.750 0.500 In
0.750 0.250 0.500 In
0.500 0.500 0.000 Pb
```

magnetization = 0.00 μB per formula unit
formation energy from the elements = -0.288 eV/atom
DOS at the Fermi energy = 0.54 states/eV per atom

Number 1: total energy -3.118 eV per atom. Number 2: total energy -3.004 eV per atom.